No. 1
First-principles (meta-GGA SCAN) data for a crystal of RbTiN2O relaxed with PBEsol, as listed in Alexandria.

abc: 4.148 4.148 3.935
angles: 90.00 90.00 90.00
Element x y z (fractional)
Rb  0.000  0.000  0.000
Ti  0.500  0.500  0.500
N  0.000  0.500  0.500
N  0.500  0.000  0.500
O  0.500  0.500  0.000

Calculated values
The space group is P4/mmm, No. 123. For the electronic total energy, the calculation gives -13.023 eV/atom. Its total magnetization is 0.6000 μB per atom.

---

No. 2
First-principles (meta-GGA SCAN) data for a crystal of NaCd2Ag2 relaxed with PBEsol, as listed in Alexandria.

abc: 3.986 3.986 13.585
angles: 90.00 90.00 90.00
Element x y z (fractional)
Na  0.000  0.000  0.000
Na  0.500  0.500  0.500
Cd  0.000  0.000  0.397
Cd  0.000  0.000  0.603
Cd  0.500  0.500  0.103
Cd  0.500  0.500  0.897
Ag  0.000  0.500  0.250
Ag  0.000  0.500  0.750
Ag  0.500  0.000  0.250
Ag  0.500  0.000  0.750

Calculated values
The formation energy comes out at -3 kJ/mol of formula units. The space group is I4/mmm, No. 139. For the electronic total energy, the calculation gives -25.561 eV/atom. Its total magnetization is 0.0000 μB per atom. The calculation puts the relative energy among the computed polymorphs at 83.9 meV per atom.

---

Question: Which formula does entry 2 have?
Answer: NaCd2Ag2